La2Tb6Pr3 | PBE | optimized geometry

Energy relative to the lowest polymorph listed for this composition, meV per atom: 64
E_form, eV per atom: 0.246

abc: 4.8437 4.8437 17.1461
angles: 98.12 98.12 90.00
With the nearest neighbours (Å) after each atom.
Sites, in units of the cell vectors:
La1 0.4540 0.4540 0.9080  1 La 3.09
La2 0.5460 0.5460 0.0920  1 La 3.09
Tb1 0.1211 0.6211 0.2422  6 Tb 3.41-3.43, 2 La 3.50, 2 Pr 3.70
Tb2 0.6211 0.1211 0.2422  6 Tb 3.41-3.43, 2 La 3.50, 2 Pr 3.70
Tb3 0.8789 0.3789 0.7578  6 Tb 3.41-3.43, 2 La 3.50, 2 Pr 3.70
Tb4 0.3789 0.8789 0.7578  6 Tb 3.41-3.43, 2 La 3.50, 2 Pr 3.70
Tb5 0.6924 0.6924 0.3849  4 Tb 3.41, 5 Pr 3.45-3.47
Tb6 0.3076 0.3076 0.6151  4 Tb 3.41, 5 Pr 3.45-3.47
Pr1 0.0000 0.0000 0.0000  8 La 3.76
Pr2 0.7958 0.7958 0.5916  9 Tb 3.45-3.70
Pr3 0.2042 0.2042 0.4084  9 Tb 3.45-3.70